(1)
VASP calculation (PBE) on InNiSb2Te after structural relaxation.

It has space group P4/mmm (No. 123), with a = 5.7026 Å, b = 5.7026 Å, c = 5.6414 Å, α = 90.00°, β = 90.00° and γ = 90.00°. The distinct sites, in fractional coordinates, are In at (0.0000, 0.0000, 0.0000), Ni at (0.5000, 0.5000, 0.5000), Sb at (0.0000, 0.5000, 0.0000) and Te at (0.0000, 0.0000, 0.5000).

Its uncorrected energy is -13.65 eV/f.u. The calculation puts the energy above the most stable polymorph in this dataset at 1021 meV/atom. For the formation energy from raw total energies, the calculation gives 1.25 eV per atom.


(2)
VASP calculation (PBE) on InNiSb2Te after structural relaxation.

It has space group P4/mmm (No. 123), with a = 4.9621 Å, b = 4.9621 Å, c = 5.2354 Å, α = 90.00°, β = 90.00° and γ = 90.00°. The distinct sites, in fractional coordinates, are In at (0.0000, 0.0000, 0.0000), Ni at (0.5000, 0.5000, 0.5000), Sb at (0.0000, 0.5000, 0.5000) and Te at (0.5000, 0.5000, 0.0000).

Its uncorrected energy is -18.75 eV/f.u. The calculation puts the energy above the most stable polymorph in this dataset at 0 meV/atom. For the formation energy from raw total energies, the calculation gives 0.23 eV per atom.


(3)
VASP calculation (PBE) on Sc8InNi2 after structural relaxation.

It has space group C2/m (No. 12), with a = 16.5814 Å, b = 3.3450 Å, c = 8.7113 Å, α = 90.00°, β = 99.81° and γ = 90.00°. The distinct sites, in fractional coordinates, are Sc at (0.0256, 0.0000, 0.1865), Sc at (0.1420, 0.0000, 0.6914), Sc at (0.1565, 0.5000, 0.0106), Sc at (0.1774, 0.5000, 0.3893), In at (0.0000, 0.5000, 0.5000) and Ni at (0.2390, 0.0000, 0.2163).

Its uncorrected energy is -67.77 eV/f.u. The calculation puts the energy above the most stable polymorph in this dataset at 0 meV/atom. The calculation puts the formation energy at -0.256 eV/atom.


(4)
VASP calculation (PBE) on ScIn2Ni after structural relaxation.

It has space group P4mm (No. 99), with a = 3.2027 Å, b = 3.2027 Å, c = 7.8968 Å, α = 90.00°, β = 90.00° and γ = 90.00°. The distinct sites, in fractional coordinates, are Sc at (0.0000, 0.0000, 0.0000), In at (0.0000, 0.0000, 0.6086), In at (0.5000, 0.5000, 0.2885) and Ni at (0.5000, 0.5000, 0.8153).

Its uncorrected energy is -18.52 eV/f.u. The calculation puts the formation energy at -0.232 eV/atom.


(5)
VASP calculation (PBE) on ScInNi after structural relaxation.

It has space group F-43m (No. 216), with a = 6.3658 Å, b = 6.3658 Å, c = 6.3658 Å, α = 90.00°, β = 90.00° and γ = 90.00°. The distinct sites, in fractional coordinates, are Sc at (0.0000, 0.0000, 0.0000), In at (0.2500, 0.2500, 0.2500) and Ni at (0.0000, 0.0000, 0.5000).

Its uncorrected energy is -14.31 eV/f.u. The calculation puts the formation energy at 0.180 eV/atom.


(6)
VASP calculation (PBE) on ScIn2Ni after structural relaxation.

It has space group Imm2 (No. 44), with a = 3.4925 Å, b = 4.6965 Å, c = 9.7097 Å, α = 90.00°, β = 90.00° and γ = 90.00°. The distinct sites, in fractional coordinates, are Sc at (0.0000, 0.0000, 0.0000), In at (0.0000, 0.0000, 0.5707), In at (0.0000, 0.5000, 0.7848) and Ni at (0.0000, 0.5000, 0.2937).

Its uncorrected energy is -18.30 eV/f.u. The calculation puts the formation energy at -0.179 eV/atom.


(7)
VASP calculation (PBE) on ScInNi2 after structural relaxation.

It has space group F-43m (No. 216), with a = 6.3327 Å, b = 6.3327 Å, c = 6.3327 Å, α = 90.00°, β = 90.00° and γ = 90.00°. The distinct sites, in fractional coordinates, are Sc at (0.0000, 0.0000, 0.0000), In at (0.2500, 0.2500, 0.7500), Ni at (0.0000, 0.0000, 0.5000) and Ni at (0.2500, 0.2500, 0.2500).

Its uncorrected energy is -21.27 eV/f.u. The calculation puts the formation energy at -0.161 eV/atom.


(8)
VASP calculation (PBE) on Sc12InNi6 after structural relaxation.

It has space group Im-3 (No. 204), with a = 9.0535 Å, b = 9.0535 Å, c = 9.0535 Å, α = 90.00°, β = 90.00° and γ = 90.00°. The distinct sites, in fractional coordinates, are Sc at (0.0000, 0.1884, 0.2972), In at (0.0000, 0.0000, 0.0000) and Ni at (0.0000, 0.3695, 0.5000).

Its uncorrected energy is -120.76 eV/f.u. The calculation puts the formation energy at -0.387 eV/atom.


(9)
VASP calculation (PBE) on ScIn2Ni after structural relaxation.

It has space group Fm-3m (No. 225), with a = 6.7129 Å, b = 6.7129 Å, c = 6.7129 Å, α = 90.00°, β = 90.00° and γ = 90.00°. The distinct sites, in fractional coordinates, are Sc at (0.0000, 0.0000, 0.0000), In at (0.2500, 0.2500, 0.2500) and Ni at (0.0000, 0.0000, 0.5000).

Its uncorrected energy is -18.32 eV/f.u. The calculation puts the formation energy at -0.182 eV/atom.


(10)
VASP calculation (PBE) on Sc2InNi after structural relaxation.

It has space group P4/mmm (No. 123), with a = 3.2464 Å, b = 3.2464 Å, c = 7.3341 Å, α = 90.00°, β = 90.00° and γ = 90.00°. The distinct sites, in fractional coordinates, are Sc at (0.0000, 0.0000, 0.2097), In at (0.5000, 0.5000, 0.5000) and Ni at (0.5000, 0.5000, 0.0000).

Its uncorrected energy is -23.06 eV/f.u. The calculation puts the formation energy at -0.468 eV/atom.


(11)
VASP calculation (PBE) on Sc2InNi after structural relaxation.

It has space group I-42d (No. 122), with a = 7.5110 Å, b = 7.5110 Å, c = 5.9679 Å, α = 90.00°, β = 90.00° and γ = 90.00°. The distinct sites, in fractional coordinates, are Sc at (0.1931, 0.2500, 0.1250), In at (0.0000, 0.0000, 0.5000) and Ni at (0.0000, 0.0000, 0.0000).

Its uncorrected energy is -21.56 eV/f.u. The calculation puts the formation energy at -0.095 eV/atom.


(12)
VASP calculation (PBE) on Sc3InNi2 after structural relaxation.

It has space group P4/mmm (No. 123), with a = 3.2079 Å, b = 3.2079 Å, c = 10.5799 Å, α = 90.00°, β = 90.00° and γ = 90.00°. The distinct sites, in fractional coordinates, are Sc at (0.0000, 0.0000, 0.0000), Sc at (0.0000, 0.0000, 0.2966), In at (0.5000, 0.5000, 0.5000) and Ni at (0.5000, 0.5000, 0.1516).

Its uncorrected energy is -36.18 eV/f.u. The calculation puts the formation energy at -0.480 eV/atom.


(13)
VASP calculation (PBE) on ScIn2Ni after structural relaxation.

It has space group R-3m (No. 166, hexagonal axes), with a = 3.3620 Å, b = 3.3620 Å, c = 25.4383 Å, α = 90.00°, β = 90.00° and γ = 120.00°. The distinct sites, in fractional coordinates, are Sc at (0.0000, 0.0000, 0.0000), In at (0.0000, 0.0000, 0.2375) and Ni at (0.0000, 0.0000, 0.5000).

Its uncorrected energy is -17.91 eV/f.u. The calculation puts the formation energy at -0.079 eV/atom.